No. 1
Material: BeCdFe
Method: DFT, GGA-PBE
State: relaxed

* distance to the lowest polymorph of the same formula: 0.1589 eV/atom
* SG: No. 156

abc: 4.1576 4.1576 2.7456
angles: 90.00 90.00 120.00
Closest atoms and distances in Å follow each position.
Fractional coordinates of all 3 atoms:
Be1 0.0000 0.0000 0.0486  3 Cd 2.46, 3 Fe 2.58, 2 Be 2.75
Fe1 0.3333 0.6667 0.7082  3 Be 2.58, 6 Cd 2.72-2.81, 2 Fe 2.75
Cd1 0.6667 0.3333 0.2433  3 Be 2.46, 3 Fe 2.72, 2 Cd 2.75



No. 2
Material: In2RhPb
Method: DFT, GGA-PBE
State: relaxed

* uncorrected energy: -4.169 eV per atom
* SG: No. 166

abc: 10.0889 10.0889 10.0889
angles: 18.96 18.96 18.96
Closest atoms and distances in Å follow each position.
Fractional coordinates of all 4 atoms:
In1 0.7324 0.7324 0.7324  3 Rh 2.74
In2 0.2676 0.2676 0.2676  3 Rh 2.74
Rh1 0.0000 0.0000 0.0000  6 In 2.74
Pb1 0.5000 0.5000 0.5000  6 Pb 3.32, 6 In 3.56



No. 3
Material: Sc2Tl2Ni
Method: DFT, GGA-PBE
State: relaxed

* distance to the lowest polymorph of the same formula: 0.0609 eV/atom
* SG: No. 127

abc: 6.8373 6.8373 4.9082
angles: 90.00 90.00 90.00
Closest atoms and distances in Å follow each position.
Fractional coordinates of all 10 atoms:
Sc1 0.3379 0.8379 0.0000  2 Ni 2.56
Sc2 0.8379 0.6621 0.0000  2 Ni 2.56
Sc3 0.6621 0.1621 0.0000  2 Ni 2.56
Sc4 0.1621 0.3379 0.0000  2 Ni 2.56
Ni1 0.0000 0.0000 0.0000  4 Sc 2.56
Ni2 0.5000 0.5000 0.0000  4 Sc 2.56
Tl1 0.1612 0.6612 0.5000  6 Sc 2.99-3.30, 1 Tl 3.12
Tl2 0.6612 0.8388 0.5000  6 Sc 2.99-3.30, 1 Tl 3.12
Tl3 0.8388 0.3388 0.5000  6 Sc 2.99-3.30, 1 Tl 3.12
Tl4 0.3388 0.1612 0.5000  6 Sc 2.99-3.30, 1 Tl 3.12



No. 4
Material: BaLi2Ru
Method: DFT, GGA-PBE
State: relaxed

* distance to the lowest polymorph of the same formula: 0.2162 eV/atom
* SG: No. 141

abc: 4.7245 4.7245 9.7665
angles: 76.00 76.00 90.00
Closest atoms and distances in Å follow each position.
Fractional coordinates of all 8 atoms:
Ru1 0.5000 0.5000 0.0000  4 Li 2.58
Ru2 0.2500 0.7500 0.5000  4 Li 2.58
Ba1 0.0000 0.0000 0.0000  4 Ru 3.34, 8 Li 3.50
Ba2 0.7500 0.2500 0.5000  4 Ru 3.34, 8 Li 3.50
Li1 0.3742 0.1250 0.2500  2 Li 2.36, 2 Ru 2.58
Li2 0.3758 0.6250 0.2500  2 Li 2.36, 2 Ru 2.58
Li3 0.3750 0.6258 0.7500  2 Li 2.36, 2 Ru 2.58
Li4 0.8750 0.6242 0.7500  2 Li 2.36, 2 Ru 2.58



No. 5
Material: RbLiTlO3
Method: DFT, GGA-PBE
State: relaxed

* SG: No. 11
* formation energy from raw total energies: -96.2 kJ/mol of atoms

abc: 3.5635 7.7216 7.8560
angles: 109.71 90.00 90.00
Closest atoms and distances in Å follow each position.
Fractional coordinates of all 12 atoms:
Rb1 0.2500 0.2148 0.2477  7 O 2.96-3.11, 1 Li 3.17
Rb2 0.7500 0.7852 0.7523  7 O 2.96-3.11, 1 Li 3.17
Li1 0.2500 0.0862 0.5902  4 O 1.94-1.97
Li2 0.7500 0.9138 0.4098  4 O 1.94-1.97
Tl1 0.2500 0.6757 0.1520  6 O 2.18-2.38
Tl2 0.7500 0.3243 0.8480  6 O 2.18-2.38
O1 0.7500 0.8689 0.1509  1 Li 1.94
O2 0.2500 0.1311 0.8491  1 Li 1.94
O3 0.2500 0.8233 0.4425  3 Li 1.96-1.97, 1 Tl 2.18
O4 0.7500 0.1767 0.5575  3 Li 1.96-1.97, 1 Tl 2.18
O5 0.7500 0.4680 0.1429  3 Tl 2.21-2.38
O6 0.2500 0.5320 0.8571  3 Tl 2.21-2.38



No. 6
Material: LaCuHg
Method: DFT, GGA-PBE
State: relaxed

* uncorrected energy: -3.448 eV per atom
* SG: No. 187

abc: 4.7129 4.7129 3.7747
angles: 90.00 90.00 120.00
Closest atoms and distances in Å follow each position.
Fractional coordinates of all 3 atoms:
Hg1 0.3333 0.6667 0.1666  3 Cu 2.72
Cu1 0.0000 0.0000 0.1669  3 Hg 2.72
La1 0.6667 0.3333 0.6666  6 Cu 3.31, 6 Hg 3.31



No. 7
Material: InFeAs2
Method: DFT, GGA-PBE
State: relaxed

* uncorrected energy: -5.070 eV per atom
* SG: No. 38

abc: 3.4047 5.9018 4.3735
angles: 68.28 90.00 90.00
Closest atoms and distances in Å follow each position.
Fractional coordinates of all 4 atoms:
As1 0.0000 0.1194 0.0026  2 Fe 2.20
As2 0.5000 0.4533 0.3359  2 Fe 2.34
Fe1 0.0000 0.1601 0.4822  4 As 2.20-2.34
In1 0.5000 0.7671 0.6792  2 Fe 2.75, 2 As 2.78



No. 8
Material: BeO
Method: DFT, GGA-PBE
State: relaxed

* distance to the lowest polymorph of the same formula: 0.1268 eV/atom
* SG: No. 83
* formation energy from raw total energies: -254.1 kJ/mol of atoms

abc: 7.3003 7.3003 2.7696
angles: 90.00 90.00 90.00
Closest atoms and distances in Å follow each position.
Fractional coordinates of all 16 atoms:
Be1 0.7876 0.6370 0.5000  3 O 1.59-1.62
Be2 0.2124 0.3630 0.5000  3 O 1.59-1.62
Be3 0.3630 0.7876 0.5000  3 O 1.59-1.62
Be4 0.6370 0.2124 0.5000  3 O 1.59-1.62
Be5 0.8808 0.4024 0.0000  4 O 1.61-1.77
Be6 0.1192 0.5976 0.0000  4 O 1.61-1.77
Be7 0.5976 0.8808 0.0000  4 O 1.61-1.77
Be8 0.4024 0.1192 0.0000  4 O 1.61-1.77
O1 0.7673 0.3868 0.5000  3 Be 1.59-1.62
O2 0.2327 0.6132 0.5000  3 Be 1.59-1.62
O3 0.6132 0.7673 0.5000  3 Be 1.59-1.62
O4 0.3868 0.2327 0.5000  3 Be 1.59-1.62
O5 0.9037 0.6440 0.0000  4 Be 1.61-1.77
O6 0.0963 0.3560 0.0000  4 Be 1.61-1.77
O7 0.3560 0.9037 0.0000  4 Be 1.61-1.77
O8 0.6440 0.0963 0.0000  4 Be 1.61-1.77